First-principles (PBE-GGA) data for a geometry-optimized Hf3MgN structure, as listed in Alexandria via LeMat-Bulk.

Cell: 4.4679 4.4679 4.4679 Å, 90.00 90.00 90.00°
Last column: nearest neighbours and their distance in Å.
Sites, in units of the cell vectors:
Hf: 0.0000 0.0000 0.5000  2 N 2.23
Hf: 0.0000 0.5000 0.0000  2 N 2.23
Hf: 0.5000 0.0000 0.0000  2 N 2.23
Mg: 0.5000 0.5000 0.5000  12 Hf 3.16
N: 0.0000 0.0000 0.0000  6 Hf 2.23

Results
E_form (uncorrected) in eV/atom: -0.67
DOS(E_F) in states/eV per atom: 0.68